Compound: Ba2P3IrPt12
Source: Alexandria
Functional: PBE
Structure: optimized geometry

abc: 8.2693 8.2693 19.4560
angles: 90.00 90.00 120.00
Space group R-3m (No. 166, hexagonal axes)
Inequivalent atoms, fractional coordinates:
1 Ba 0.0000 0.0000 0.1151
2 P 0.0000 0.5000 0.0000
3 Ir 0.0000 0.0000 0.5000
4 Pt 0.0117 0.5058 0.1162
5 Pt 0.0465 0.5232 0.3616

Results
Calculated formation energy (kJ/mol of formula units): -385
Total DFT energy (no corrections) (eV/atom): -5.86
Total magnetization (μB per cell): 0.0
V (Å³ per cell): 1152.19


Compound: BaP2IrRu
Source: Alexandria
Functional: PBE
Structure: optimized geometry

abc: 4.028 4.028 12.549
angles: 90.00 90.00 90.00
Space group I-4m2 (No. 119)
Inequivalent atoms, fractional coordinates:
1 Ba 0.000 0.000 0.000
2 P 0.000 0.000 0.347
3 Ir 0.000 0.500 0.250
4 Ru 0.000 0.500 0.750

Results
Calculated formation energy (kJ/mol of formula units): -445
Total DFT energy (no corrections) (eV/atom): -7.10
Total magnetization (μB per cell): 0.0
V (Å³ per cell): 203.61